#A
## Pb3SO6 (SCAN)

Data for Pb3SO6 at its PBEsol-relaxed geometry.

Cell lengths 5.8880, 7.8546, 7.8546 Å; angles 98.48, 90.00, 90.00 degrees
With the nearest neighbours (Å) after each atom.
Sites, in units of the cell vectors:
Pb  0.2500  0.8955  0.1045  4 O 2.41
O  0.5000  0.1416  0.1416  4 Pb 2.25-2.41
O  0.0000  0.1416  0.1416  4 Pb 2.25-2.41
Pb  0.2500  0.8374  0.6402  3 O 2.25-2.35
O  0.2500  0.5499  0.6904  1 S 1.50
O  0.2500  0.3096  0.4501  1 S 1.50
O  0.0000  0.8584  0.8584  4 Pb 2.25-2.41
O  0.0426  0.2882  0.7118  1 S 1.48
S  0.7500  0.6422  0.3578  4 O 1.48-1.50
O  0.9574  0.7118  0.2882  1 S 1.48
Pb  0.7500  0.6402  0.8374  3 O 2.25-2.35
O  0.5000  0.8584  0.8584  4 Pb 2.25-2.41
Pb  0.7500  0.1045  0.8955  4 O 2.41
Pb  0.7500  0.1626  0.3598  3 O 2.25-2.35
O  0.7500  0.6904  0.5499  1 S 1.50
O  0.7500  0.4501  0.3096  1 S 1.50
O  0.5426  0.7118  0.2882  1 S 1.48
Pb  0.2500  0.3598  0.1626  3 O 2.25-2.35
O  0.4574  0.2882  0.7118  1 S 1.48
S  0.2500  0.3578  0.6422  4 O 1.48-1.50

Computed properties:
Theoretical density (g cm⁻³): 6.93
Size of the total moment (μB per formula unit): 0.00

---

#B
## Pb3SO6 (SCAN)

Data for Pb3SO6 at its PBEsol-relaxed geometry.

Cell lengths 5.7545, 7.1409, 8.1436 Å; angles 103.37, 90.00, 90.00 degrees
With the nearest neighbours (Å) after each atom.
Sites, in units of the cell vectors:
O  0.2500  0.1596  0.9746  1 S 1.47
O  0.9593  0.5785  0.8365  1 S 1.50
S  0.7500  0.7065  0.8583  4 O 1.47-1.51
Pb  0.7500  0.6005  0.4155  2 O 2.20
O  0.5407  0.5785  0.8365  1 S 1.50
O  0.4999  0.1792  0.6205  4 Pb 2.20-2.42
S  0.2500  0.2935  0.1417  4 O 1.47-1.51
O  0.9999  0.8208  0.3795  4 Pb 2.20-2.42
O  0.5001  0.8208  0.3795  4 Pb 2.20-2.42
O  0.4593  0.4215  0.1635  1 S 1.50
Pb  0.2500  0.3995  0.5845  2 O 2.20
O  0.0407  0.4215  0.1635  1 S 1.50
Pb  0.7500  0.2360  0.8457  2 O 2.29
O  0.2500  0.1803  0.2769  1 S 1.51
O  0.0001  0.1792  0.6205  4 Pb 2.20-2.42
Pb  0.7500  0.0806  0.3762  4 O 2.35-2.42
Pb  0.2500  0.7640  0.1543  2 O 2.29
Pb  0.2500  0.9194  0.6238  4 O 2.35-2.42
O  0.7500  0.8197  0.7231  1 S 1.51
O  0.7500  0.8404  0.0254  1 S 1.47

Computed properties:
Theoretical density (g cm⁻³): 7.65
Size of the total moment (μB per formula unit): 0.00

---

Stability summary - winner: #B; margin: 34 meV/atom.

---

#A
## SiPbO2 (SCAN)

Data for SiPbO2 at its PBEsol-relaxed geometry.

Cell lengths 4.2390, 4.2390, 4.2390 Å; angles 60.00, 60.00, 60.00 degrees
With the nearest neighbours (Å) after each atom.
Sites, in units of the cell vectors:
Si  0.0000  0.0000  0.0000  8 O 2.60
Pb  0.5000  0.5000  0.5000  8 O 2.60
O  0.7500  0.7500  0.7500  4 Pb 2.60, 4 Si 2.60
O  0.2500  0.2500  0.2500  4 Pb 2.60, 4 Si 2.60

Computed properties:
Theoretical density (g cm⁻³): 8.24
Size of the total moment (μB per formula unit): 0.00

---

#B
## SiPbO2 (SCAN)

Data for SiPbO2 at its PBEsol-relaxed geometry.

Cell lengths 2.8690, 2.8690, 9.7948 Å; angles 81.58, 81.58, 60.00 degrees
With the nearest neighbours (Å) after each atom.
Sites, in units of the cell vectors:
Pb  0.0000  0.0000  0.0000  6 Pb 2.87
O  0.1370  0.1370  0.5890  3 Si 1.87
O  0.8630  0.8630  0.4110  3 Si 1.87
Si  0.5000  0.5000  0.5000  6 O 1.87

Computed properties:
Theoretical density (g cm⁻³): 6.45
Size of the total moment (μB per formula unit): 0.00

---

Stability summary - winner: #B; margin: 1487 meV/atom.

---

#A
## Ta6Pb4O19 (SCAN)

Data for Ta6Pb4O19 at its PBEsol-relaxed geometry.

Cell lengths 7.4282, 10.5427, 12.8987 Å; angles 114.12, 106.73, 90.00 degrees
With the nearest neighbours (Å) after each atom.
Sites, in units of the cell vectors:
O  0.3803  0.0666  0.3774  2 Ta 1.97
O  0.7500  0.0659  0.5000  2 Ta 1.98
O  0.1753  0.8583  0.9580  2 Ta 1.97-1.99
O  0.3247  0.4003  0.0420  2 Ta 1.97-1.99
O  0.7827  0.8583  0.9580  2 Ta 1.97-1.99
Ta  0.5000  0.0000  0.5000  6 O 1.97-1.98
O  0.7500  0.3419  0.5000  2 Pb 2.20
Pb  0.3341  0.8509  0.6682  1 O 2.20
Ta  0.0000  0.0000  0.5000  6 O 1.97-1.98
O  0.0805  0.3964  0.1610  2 Ta 1.98
O  0.5805  0.2646  0.1610  2 Ta 1.98
O  0.2500  0.3208  0.5000  2 Ta 2.04
O  0.2500  0.6581  0.5000  2 Pb 2.20
O  0.4195  0.7354  0.8390  2 Ta 1.98
O  0.6605  0.7264  0.7061  2 Ta 2.00-2.01
O  0.5837  0.6388  0.1674  2 Ta 1.91-1.96
Ta  0.6682  0.6682  0.8364  6 O 1.97-2.00
O  0.2500  0.9341  0.5000  2 Ta 1.98
O  0.4971  0.8107  0.3774  2 Ta 1.97
O  0.7500  0.6792  0.5000  2 Ta 2.04
Pb  0.1659  0.6827  0.3318  1 O 2.20
O  0.0837  0.0286  0.1674  2 Ta 1.91-1.96
O  0.5029  0.1893  0.6226  2 Ta 1.97
Pb  0.5000  0.5000  0.5000  8 O 2.50-2.68
Ta  0.8318  0.3318  0.1636  6 O 1.97-2.00
O  0.9163  0.9714  0.8326  2 Ta 1.91-1.96
Pb  0.8341  0.3173  0.6682  1 O 2.20
O  0.3395  0.2736  0.2939  2 Ta 2.00-2.01
O  0.2827  0.5997  0.9580  2 Ta 1.97-1.99
O  0.4163  0.3612  0.8326  2 Ta 1.91-1.96
Ta  0.0000  0.0000  0.0000  6 O 1.96-1.99
Ta  0.5000  0.5000  0.0000  6 O 1.96-1.99
O  0.9971  0.0666  0.3774  2 Ta 1.97
O  0.7173  0.4003  0.0420  2 Ta 1.97-1.99
O  0.4544  0.5203  0.2939  2 Ta 2.00-2.01
O  0.6197  0.9334  0.6226  2 Ta 1.97
O  0.0029  0.9334  0.6226  2 Ta 1.97
O  0.5456  0.4797  0.7061  2 Ta 2.00-2.01
O  0.8395  0.5203  0.2939  2 Ta 2.00-2.01
Pb  0.0000  0.5000  0.0000  6 O 2.63-2.65
O  0.9544  0.2736  0.2939  2 Ta 2.00-2.01
O  0.2173  0.1417  0.0420  2 Ta 1.97-1.99
O  0.6753  0.5997  0.9580  2 Ta 1.97-1.99
Ta  0.6654  0.6674  0.3308  6 O 1.91-2.04
O  0.9195  0.6036  0.8390  2 Ta 1.98
Ta  0.3318  0.3318  0.1636  6 O 1.97-2.00
Pb  0.0000  0.5000  0.5000  8 O 2.50-2.68
O  0.8803  0.8107  0.3774  2 Ta 1.97
Pb  0.6659  0.1491  0.3318  1 O 2.20
O  0.0456  0.7264  0.7061  2 Ta 2.00-2.01
Ta  0.1682  0.6682  0.8364  6 O 1.97-2.00
Ta  0.8346  0.8366  0.6692  6 O 1.91-2.04
Pb  0.5000  0.0000  0.0000  6 O 2.63-2.65
O  0.1197  0.1893  0.6226  2 Ta 1.97
O  0.8247  0.1417  0.0420  2 Ta 1.97-1.99
O  0.1605  0.4797  0.7061  2 Ta 2.00-2.01
Ta  0.3346  0.3326  0.6692  6 O 1.91-2.04
Ta  0.1654  0.1634  0.3308  6 O 1.91-2.04

Computed properties:
Theoretical density (g cm⁻³): 8.42
Size of the total moment (μB per formula unit): 0.00

---

#B
## Ta6Pb4O19 (SCAN)

Data for Ta6Pb4O19 at its PBEsol-relaxed geometry.

Cell lengths 7.4265, 7.4563, 18.2503 Å; angles 90.37, 90.00, 119.87 degrees
With the nearest neighbours (Å) after each atom.
Sites, in units of the cell vectors:
O  0.5910  0.7791  0.2271  2 Ta 1.96-2.01
O  0.6637  0.3275  0.4379  1 Pb 2.11
O  0.5934  0.7949  0.9814  2 Ta 1.98-2.00
Pb  0.6540  0.3081  0.3224  1 O 2.11
O  0.9147  0.4548  0.6438  2 Ta 1.97-2.01
Pb  0.3460  0.6919  0.6776  1 O 2.11
Ta  0.6652  0.3303  0.8361  6 O 1.92-2.01
Pb  0.1871  0.3741  0.8254  6 O 2.56-2.74
O  0.2561  0.1272  0.3159  2 Ta 1.97-1.98
Ta  0.5000  0.5000  0.0000  6 O 1.97-2.00
O  0.8711  0.1272  0.3159  2 Ta 1.97-1.98
O  0.5383  0.4595  0.8958  2 Ta 1.97
O  0.0789  0.5405  0.1042  2 Ta 1.97
O  0.7447  0.8724  0.4378  2 Ta 2.00-2.01
O  0.5449  0.0898  0.8973  2 Ta 1.92-1.97
O  0.2034  0.4069  0.9750  2 Ta 2.00
O  0.4090  0.2209  0.7729  2 Ta 1.96-2.01
O  0.7985  0.2051  0.0186  2 Ta 1.98-2.00
Ta  0.3337  0.1682  0.6690  6 O 1.96-2.01
O  0.1289  0.8728  0.6841  2 Ta 1.97-1.98
O  0.2129  0.4259  0.2316  2 Ta 1.88-2.01
O  0.4617  0.5405  0.1042  2 Ta 1.97
O  0.3363  0.6725  0.5621  1 Pb 2.11
O  0.7871  0.5741  0.7684  2 Ta 1.88-2.01
Pb  0.5000  0.5000  0.5000  8 O 2.44-2.71
Ta  0.1666  0.3331  0.3291  6 O 1.88-2.09
O  0.4630  0.9259  0.3492  2 Ta 1.98
O  0.1278  0.8724  0.4378  2 Ta 2.00-2.01
Pb  0.8129  0.6259  0.1746  6 O 2.56-2.74
O  0.9211  0.4595  0.8958  2 Ta 1.97
O  0.1881  0.7791  0.2271  2 Ta 1.96-2.01
Ta  0.8334  0.6669  0.6709  6 O 1.88-2.09
Ta  0.6663  0.8318  0.3310  6 O 1.96-2.01
Ta  0.3348  0.6697  0.1639  6 O 1.92-2.01
Ta  0.1655  0.8318  0.3310  6 O 1.96-2.01
O  0.8119  0.2209  0.7729  2 Ta 1.96-2.01
O  0.7966  0.5931  0.0250  2 Ta 2.00
Pb  0.0000  0.0000  0.0000  6 O 2.64-2.67
Pb  0.5000  0.0000  0.5000  6 O 2.41-2.68
O  0.4551  0.9102  0.1027  2 Ta 1.92-1.97
O  0.2015  0.7949  0.9814  2 Ta 1.98-2.00
O  0.7439  0.8728  0.6841  2 Ta 1.97-1.98
O  0.4066  0.2051  0.0186  2 Ta 1.98-2.00
Ta  0.5000  0.0000  0.0000  6 O 1.97-2.00
O  0.1273  0.2545  0.4399  2 Ta 1.98-2.09
Pb  0.0000  0.5000  0.5000  8 O 2.44-2.71
Ta  0.0000  0.0000  0.5000  6 O 1.98-2.00
O  0.5370  0.0741  0.6508  2 Ta 1.98
O  0.2553  0.1276  0.5622  2 Ta 2.00-2.01
O  0.4599  0.5452  0.3562  2 Ta 1.97-2.01
O  0.0853  0.5452  0.3562  2 Ta 1.97-2.01
Ta  0.8345  0.1682  0.6690  6 O 1.96-2.01
Ta  0.0000  0.5000  0.0000  6 O 1.97-2.00
O  0.8722  0.1276  0.5622  2 Ta 2.00-2.01
O  0.8727  0.7455  0.5601  2 Ta 1.98-2.09
O  0.1265  0.2530  0.6913  2 Ta 1.97
O  0.8735  0.7470  0.3087  2 Ta 1.97
O  0.5401  0.4548  0.6438  2 Ta 1.97-2.01

Computed properties:
Theoretical density (g cm⁻³): 8.41
Size of the total moment (μB per formula unit): 0.00

---

Stability summary - winner: #A; margin: 27 meV/atom.